## 1
The following is a PBE with a Hubbard U calculation of NiI3F after structural relaxation, from Alexandria via LeMat-Bulk.

Cell lengths 5.293, 5.293, 5.293 Å; angles 90.00, 90.00, 90.00 degrees
Element x y z (fractional)
Ni 0.000 0.000 0.000
I 0.000 0.500 0.500
I 0.500 0.000 0.500
I 0.500 0.500 0.000
F 0.500 0.500 0.500

* total magnetic moment: 1.112 μB/f.u.
* N(E_F): 18.1 states/eV/f.u.

## 2
The following is a PBE with a Hubbard U calculation of NiI3F after structural relaxation, from Alexandria via LeMat-Bulk.

Cell lengths 5.148, 5.148, 5.148 Å; angles 90.00, 90.00, 90.00 degrees
Element x y z (fractional)
Ni 0.000 0.000 0.000
I 0.000 0.000 0.500
I 0.000 0.500 0.000
I 0.500 0.000 0.000
F 0.500 0.500 0.500

* total magnetic moment: 0.000 μB/f.u.
* N(E_F): 6.0 states/eV/f.u.

Which of them is the most stable, and which is the least stable? 2 and 1, in that order.